# 1
Below is a relaxed CaIn2P crystal, with properties calculated at the GGA-PBE level.

calculated density = 5.15 g/cm³
E = -13.98 eV per cell
calculated formation energy = -0.274 eV/atom
symmetry = P4mm (99)
density of states at the Fermi level = 1.4 states/eV/f.u.

abc: 3.8174 3.8174 6.6533
angles: 90.00 90.00 90.00
Sites, in units of the cell vectors:
In 0.0000 0.0000 0.0338
In 0.5000 0.5000 0.2707
P 0.0000 0.0000 0.4705
Ca 0.5000 0.5000 0.7250

# 2
Below is a relaxed Er6Ru2Pt crystal, with properties calculated at the GGA-PBE level.

calculated density = 10.27 g/cm³
energy above the most stable polymorph in this dataset = 49.7 meV per atom
E = -112.88 eV per cell
calculated formation energy = -0.497 eV/atom
symmetry = P2_1/c (14)
density of states at the Fermi level = 6.3 states/eV/f.u.

abc: 6.5496 7.3457 9.4216
angles: 90.00 88.05 90.00
Sites, in units of the cell vectors:
Ru 0.9644 0.3819 0.7345
Ru 0.0356 0.6181 0.2655
Ru 0.4644 0.1181 0.2345
Ru 0.5356 0.8819 0.7655
Er 0.8510 0.6753 0.9256
Er 0.8258 0.6668 0.5683
Er 0.3510 0.8247 0.4256
Er 0.1490 0.3247 0.0744
Er 0.3355 0.5535 0.7382
Er 0.6742 0.1668 0.9317
Er 0.8355 0.9465 0.2382
Er 0.1645 0.0535 0.7618
Er 0.3258 0.8332 0.0683
Er 0.1742 0.3332 0.4317
Er 0.6645 0.4465 0.2618
Er 0.6490 0.1753 0.5744
Pt 0.0000 0.0000 0.5000
Pt 0.5000 0.5000 0.0000